The following is a PBE calculation of a relaxed structure of Ac2PmHg10, from Alexandria via LeMat-Bulk.

Calculated values
SG: Pbam (55)
DFT total energy: -1.33 eV/atom

Lattice parameters (Å, degrees): 11.175 13.346 5.869 90.00 90.00 90.00
Positions (direct):
Ac 0.127 0.172 0.000
Ac 0.373 0.672 0.000
Ac 0.627 0.328 0.000
Ac 0.873 0.828 0.000
Pm 0.000 0.500 0.500
Pm 0.500 0.000 0.500
Hg 0.031 0.887 0.500
Hg 0.097 0.692 0.244
Hg 0.097 0.692 0.756
Hg 0.190 0.318 0.500
Hg 0.225 0.040 0.500
Hg 0.275 0.540 0.500
Hg 0.310 0.818 0.500
Hg 0.403 0.192 0.244
Hg 0.403 0.192 0.756
Hg 0.469 0.387 0.500
Hg 0.531 0.613 0.500
Hg 0.597 0.808 0.244
Hg 0.597 0.808 0.756
Hg 0.690 0.182 0.500
Hg 0.725 0.460 0.500
Hg 0.775 0.960 0.500
Hg 0.810 0.682 0.500
Hg 0.903 0.308 0.244
Hg 0.903 0.308 0.756
Hg 0.969 0.113 0.500



The following is a PBE calculation of a relaxed structure of AcPm2Hg, from Alexandria via LeMat-Bulk.

Calculated values
SG: R3m (160)
offset from the most stable computed form: 97 meV per atom
DFT total energy: -3.60 eV/atom

Lattice parameters (Å, degrees): 11.182 11.182 11.182 19.79 19.79 19.79
Positions (direct):
Ac 0.000 0.000 0.000
Pm 0.238 0.238 0.238
Pm 0.429 0.429 0.429
Hg 0.834 0.834 0.834